! TlCd2Se2 (PBE, relaxed); values from VASP
! SG ... I4/mmm, No. 139
&SYSTEM
  ibrav = 0, nat = 5, ntyp = 3
/
ATOMIC_SPECIES
Tl 204.38 Tl.upf
Se 78.96 Se.upf
Cd 112.41 Cd.upf
CELL_PARAMETERS angstrom
-2.7099 -1.6214 4.2483
-3.0849 -2.9778 -3.1043
0.2022 -6.0713 1.1097
ATOMIC_POSITIONS crystal
Tl 0.0000 0.0000 0.0000
Se 0.7500 0.2500 0.5000
Se 0.2500 0.7500 0.5000
Cd 0.3538 0.3538 0.2925
Cd 0.6462 0.6462 0.7075

=====

! ScPaZn2 (PBE, relaxed); values from VASP
! Formation energy ... -0.08 eV per atom
! SG ... Fm-3m, No. 225
&SYSTEM
  ibrav = 0, nat = 4, ntyp = 3
/
ATOMIC_SPECIES
Sc 44.96 Sc.upf
Zn 65.41 Zn.upf
Pa 231.04 Pa.upf
CELL_PARAMETERS angstrom
-0.8120 -3.5739 -3.2240
1.8696 -4.4443 0.7606
-2.9401 -3.7176 1.1665
ATOMIC_POSITIONS crystal
Sc 0.5000 0.5000 0.5000
Zn 0.2500 0.2500 0.2500
Zn 0.7500 0.7500 0.7500
Pa 0.0000 0.0000 0.0000

=====

! Cu2TcI (PBE, relaxed); values from VASP
! SG ... P1, No. 1
&SYSTEM
  ibrav = 0, nat = 8, ntyp = 3
/
ATOMIC_SPECIES
I 126.90 I.upf
Tc 98.00 Tc.upf
Cu 63.55 Cu.upf
CELL_PARAMETERS angstrom
3.7259 0.0001 -0.0096
1.8603 4.3479 -0.0035
-0.0035 1.9491 10.6411
ATOMIC_POSITIONS crystal
I 0.2117 0.2623 0.1818
I 0.5706 0.5507 0.5049
Tc 0.7473 0.1957 0.8589
Tc 0.1449 0.3978 0.7288
Cu 0.0649 0.5617 0.9518
Cu 0.4475 0.7933 0.8036
Cu 0.8417 0.0009 0.6456
Cu 0.4041 0.8850 0.0288

=====

! PaTaBe17 (PBE, relaxed); values from VASP
! Formation energy ... -0.10 eV per atom
! SG ... R3m, No. 160
&SYSTEM
  ibrav = 0, nat = 19, ntyp = 3
/
ATOMIC_SPECIES
Pa 231.04 Pa.upf
Ta 180.95 Ta.upf
Be 9.01 Be.upf
CELL_PARAMETERS angstrom
5.6671 0.0198 0.6908
0.6141 5.6338 0.6908
0.0220 0.0198 5.7090
ATOMIC_POSITIONS crystal
Pa 0.6602 0.6602 0.6602
Ta 0.3377 0.3377 0.3377
Be 0.2831 0.0040 0.7131
Be 0.7131 0.2831 0.0040
Be 0.0040 0.7131 0.2831
Be 0.2831 0.7131 0.0040
Be 0.0040 0.2831 0.7131
Be 0.7131 0.0040 0.2831
Be 0.3393 0.8427 0.3393
Be 0.3393 0.3393 0.8427
Be 0.8427 0.3393 0.3393
Be 0.6546 0.1601 0.6546
Be 0.6546 0.6546 0.1601
Be 0.1601 0.6546 0.6546
Be 0.0025 0.4988 0.0025
Be 0.0025 0.0025 0.4988
Be 0.4988 0.0025 0.0025
Be 0.9075 0.9075 0.9075
Be 0.1000 0.1000 0.1000

=====

| no. | DFT total energy (eV/atom) |
| --- | --- |
| 1 | -2.496 |
| 2 | -4.672 |
| 3 | -4.762 |
| 4 | -4.561 |